(1)
MnTc2Hg | PBE-GGA | relaxed

The structure in POSCAR format:
```
MnTc2Hg
1.0
-1.425 2.879 -2.035
-0.442 -1.796 -2.231
-5.741 -3.042 -0.284
Hg Tc Mn
1 2 1
Direct
0.000 0.496 0.508 Hg
0.500 0.316 0.208 Tc
0.000 0.965 0.009 Tc
0.500 0.723 0.775 Mn
```

- crystal system = monoclinic
- ΔH_f (0 K) (eV per atom) = 0.321

***

(2)
MnTc2Hg | PBE-GGA | relaxed

The structure in POSCAR format:
```
MnTc2Hg
1.0
2.976 0.000 0.000
0.000 2.976 0.000
0.000 0.000 7.384
Tc Mn Hg
2 1 1
Direct
0.500 0.500 0.211 Tc
0.000 0.000 0.011 Tc
0.500 0.500 0.774 Mn
0.000 0.000 0.504 Hg
```

- crystal system = tetragonal
- ΔH_f (0 K) (eV per atom) = 0.262

***

(3)
MnTcHg2 | PBE-GGA | relaxed

The structure in POSCAR format:
```
MnTcHg2
1.0
-1.254 1.477 2.206
-2.520 0.106 -1.503
-2.342 -7.099 3.423
Hg Tc Mn
2 1 1
Direct
0.000 0.000 0.004 Hg
0.000 0.000 0.496 Hg
0.500 0.500 0.750 Tc
0.500 0.500 0.250 Mn
```

- energy above the lowest structure with this stoichiometry (kJ per mole of atoms) = 24.1
- crystal system = tetragonal
- ΔH_f (0 K) (eV per atom) = 0.569

***

(4)
MnTcHg2 | PBE-GGA | relaxed

The structure in POSCAR format:
```
MnTcHg2
1.0
-4.776 1.705 -0.292
-2.238 -1.845 -4.170
2.587 -2.246 3.749
Tc Hg Mn
1 2 1
Direct
0.750 0.250 0.500 Tc
0.250 0.750 0.500 Hg
0.000 0.000 0.000 Hg
0.500 0.500 0.000 Mn
```

- energy above the lowest structure with this stoichiometry (kJ per mole of atoms) = 24.0
- crystal system = tetragonal
- ΔH_f (0 K) (eV per atom) = 0.568

***

(5)
MnTc2Hg | PBE-GGA | relaxed

The structure in POSCAR format:
```
MnTc2Hg
1.0
-1.971 4.444 0.397
0.289 -2.342 4.269
2.611 1.119 0.437
Tc Mn Hg
2 1 1
Direct
0.000 0.000 0.000 Tc
0.500 0.500 0.000 Tc
0.000 0.500 0.500 Mn
0.500 0.000 0.500 Hg
```

- crystal system = orthorhombic
- ΔH_f (0 K) (eV per atom) = 0.556

***

(6)
MnTcHg | PBE-GGA | relaxed

The structure in POSCAR format:
```
MnTcHg
1.0
-2.989 -2.786 1.088
-1.046 -3.123 -2.653
1.060 -3.992 0.910
Hg Tc Mn
1 1 1
Direct
0.500 0.500 0.500 Hg
0.000 0.000 0.000 Tc
0.750 0.750 0.750 Mn
```

- energy above the lowest structure with this stoichiometry (kJ per mole of atoms) = 32.3
- crystal system = cubic
- ΔH_f (0 K) (eV per atom) = 0.683

***

(7)
MnTc2Hg | PBE-GGA | relaxed

The structure in POSCAR format:
```
MnTc2Hg
1.0
-1.916 -0.208 -4.481
-3.938 -1.079 -2.669
-2.193 4.241 -0.408
Mn Hg Tc
1 1 2
Direct
0.750 0.750 0.750 Mn
0.250 0.250 0.250 Hg
0.016 0.016 0.969 Tc
0.484 0.484 0.531 Tc
```

- crystal system = monoclinic
- ΔH_f (0 K) (eV per atom) = 0.414

***

(8)
MnTcHg2 | PBE-GGA | relaxed

The structure in POSCAR format:
```
MnTcHg2
1.0
-1.791 -0.806 4.101
-3.783 2.165 1.294
-3.915 -2.283 0.362
Mn Hg Tc
1 2 1
Direct
0.000 0.000 0.000 Mn
0.250 0.250 0.250 Hg
0.750 0.750 0.750 Hg
0.500 0.500 0.500 Tc
```

- energy above the lowest structure with this stoichiometry (kJ per mole of atoms) = 58.5
- crystal system = cubic
- ΔH_f (0 K) (eV per atom) = 0.926

***

(9)
MnTcHg2 | PBE-GGA | relaxed

The structure in POSCAR format:
```
MnTcHg2
1.0
9.748 -0.055 -0.032
9.313 2.878 -0.032
9.313 1.379 2.526
Tc Hg Mn
1 2 1
Direct
0.762 0.762 0.762 Tc
0.240 0.240 0.240 Hg
0.008 0.008 0.008 Hg
0.491 0.491 0.491 Mn
```

- energy above the lowest structure with this stoichiometry (kJ per mole of atoms) = 5.7
- crystal system = trigonal
- ΔH_f (0 K) (eV per atom) = 0.379

***

(10)
MnTc2Hg | PBE-GGA | relaxed

The structure in POSCAR format:
```
MnTc2Hg
1.0
5.439 -0.011 -0.079
2.809 4.658 0.079
-3.575 -3.298 2.436
Hg Mn Tc
1 1 2
Direct
0.750 0.250 0.500 Hg
0.250 0.750 0.500 Mn
0.027 0.027 0.000 Tc
0.473 0.473 0.000 Tc
```

- crystal system = orthorhombic
- ΔH_f (0 K) (eV per atom) = 0.449

***

(11)
Mn2ZnTcHg | PBE-GGA | relaxed

The structure in POSCAR format:
```
Mn2ZnTcHg
1.0
4.571 0.000 0.000
0.000 4.639 0.000
0.000 0.000 4.571
Hg Mn Tc Zn
1 2 1 1
Direct
0.500 0.500 0.500 Hg
0.500 0.000 0.000 Mn
0.000 0.000 0.500 Mn
0.000 0.500 0.000 Tc
0.000 0.000 0.000 Zn
```

- crystal system = tetragonal
- ΔH_f (0 K) (eV per atom) = 1.090

***

(12)
Mn2HgTe | PBE-GGA | relaxed

The structure in POSCAR format:
```
Mn2HgTe
1.0
-2.514 -2.092 3.726
1.384 -4.489 -1.586
6.360 -2.886 5.970
Mn Te Hg
4 2 2
Direct
0.644 0.125 0.250 Mn
0.375 0.356 0.750 Mn
0.106 0.625 0.250 Mn
0.875 0.894 0.750 Mn
0.500 0.500 0.000 Te
0.250 0.750 0.500 Te
0.000 0.000 0.000 Hg
0.750 0.250 0.500 Hg
```

- energy above the lowest structure with this stoichiometry (kJ per mole of atoms) = 21.9
- crystal system = tetragonal
- raw formation energy (meV per atom) = 474

***

(13)
Mn2HgTe | PBE-GGA | relaxed

The structure in POSCAR format:
```
Mn2HgTe
1.0
-0.641 -1.108 -4.869
4.381 -2.229 -1.089
-3.109 -1.161 3.786
Te Mn Hg
1 2 1
Direct
0.250 0.750 0.500 Te
0.500 0.500 0.000 Mn
0.000 0.000 0.000 Mn
0.750 0.250 0.500 Hg
```

- energy above the lowest structure with this stoichiometry (kJ per mole of atoms) = 12.4
- crystal system = tetragonal
- raw formation energy (meV per atom) = 376

***

(14)
MnHg3Te4 | PBE-GGA | relaxed

The structure in POSCAR format:
```
MnHg3Te4
1.0
7.603 0.000 0.000
0.000 8.005 0.000
0.000 0.000 9.250
Mn Te Hg
2 8 6
Direct
0.002 0.168 0.000 Mn
0.502 0.832 0.500 Mn
0.122 0.328 0.760 Te
0.622 0.672 0.740 Te
0.123 0.849 0.000 Te
0.145 0.830 0.500 Te
0.645 0.170 0.000 Te
0.623 0.151 0.500 Te
0.622 0.672 0.260 Te
0.122 0.328 0.240 Te
0.000 0.668 0.751 Hg
0.500 0.332 0.251 Hg
0.500 0.332 0.749 Hg
0.002 0.164 0.500 Hg
0.502 0.836 0.000 Hg
0.000 0.668 0.249 Hg
```

- crystal system = orthorhombic
- raw formation energy (meV per atom) = -148

***

(15)
MnHg4Te | PBE-GGA | relaxed

The structure in POSCAR format:
```
MnHg4Te
1.0
0.000 4.286 4.286
4.286 0.000 4.286
4.286 4.286 0.000
Hg Mn Te
4 1 1
Direct
0.375 0.875 0.375 Hg
0.375 0.375 0.875 Hg
0.875 0.375 0.375 Hg
0.375 0.375 0.375 Hg
0.750 0.750 0.750 Mn
0.000 0.000 0.000 Te
```

- crystal system = cubic
- raw formation energy (meV per atom) = 450

***

(16)
MnHgTe3 | PBE-GGA | relaxed

The structure in POSCAR format:
```
MnHgTe3
1.0
5.113 0.000 0.000
0.000 5.113 0.000
0.000 0.000 5.113
Mn Te Hg
1 3 1
Direct
0.000 0.000 0.000 Mn
0.500 0.000 0.000 Te
0.000 0.500 0.000 Te
0.000 0.000 0.500 Te
0.500 0.500 0.500 Hg
```

- energy above the lowest structure with this stoichiometry (kJ per mole of atoms) = 0.0
- crystal system = cubic
- raw formation energy (meV per atom) = 427

***

(17)
Mn2HgTe | PBE-GGA | relaxed

The structure in POSCAR format:
```
Mn2HgTe
1.0
3.343 0.000 0.000
0.000 3.343 0.000
0.000 0.000 7.458
Te Mn Hg
1 2 1
Direct
0.000 0.000 0.408 Te
0.500 0.500 0.232 Mn
0.000 0.000 0.036 Mn
0.500 0.500 0.825 Hg
```

- energy above the lowest structure with this stoichiometry (kJ per mole of atoms) = 0.0
- crystal system = tetragonal
- raw formation energy (meV per atom) = 247

***

(18)
Mn2HgTe | PBE-GGA | relaxed

The structure in POSCAR format:
```
Mn2HgTe
1.0
6.681 0.672 0.356
4.021 5.378 -0.356
-5.064 -3.533 2.663
Hg Mn Te
1 2 1
Direct
0.284 0.784 0.500 Hg
0.931 0.931 0.000 Mn
0.739 0.239 0.500 Mn
0.546 0.546 0.000 Te
```

- energy above the lowest structure with this stoichiometry (kJ per mole of atoms) = 3.8
- crystal system = orthorhombic
- raw formation energy (meV per atom) = 286

***

(19)
Mn4HgTe | PBE-GGA | relaxed

The structure in POSCAR format:
```
Mn4HgTe
1.0
4.554 -2.175 1.028
0.857 -2.124 4.614
0.366 -5.118 0.451
Mn Hg Te
4 1 1
Direct
0.625 0.625 0.126 Mn
0.625 0.126 0.625 Mn
0.625 0.625 0.625 Mn
0.126 0.625 0.625 Mn
0.000 0.000 0.000 Hg
0.250 0.250 0.250 Te
```

- crystal system = cubic
- raw formation energy (meV per atom) = 522

***

(20)
Mn2HgTe2 | PBE-GGA | relaxed

The structure in POSCAR format:
```
Mn2HgTe2
1.0
-2.943 -0.349 -2.242
-2.148 -0.759 2.936
-4.377 8.484 1.344
Hg Mn Te
1 2 2
Direct
0.000 0.000 0.000 Hg
0.750 0.250 0.500 Mn
0.250 0.750 0.500 Mn
0.346 0.346 0.309 Te
0.654 0.654 0.691 Te
```

- energy above the lowest structure with this stoichiometry (kJ per mole of atoms) = 0.0
- crystal system = tetragonal
- raw formation energy (meV per atom) = -20

***

Number 1: size of the total moment 2.9 μB per cell. Number 2: size of the total moment 3.9 μB per cell. Number 3: size of the total moment 4.7 μB per cell. Number 4: size of the total moment 2.8 μB per cell. Number 5: size of the total moment 2.5 μB per cell. Number 6: size of the total moment 1.9 μB per cell. Number 7: size of the total moment 1.8 μB per cell. Number 8: size of the total moment 0.0 μB per cell. Number 9: size of the total moment 2.6 μB per cell. Number 10: size of the total moment 2.4 μB per cell. Number 11: size of the total moment 7.6 μB per cell. Number 12: size of the total moment 18.0 μB per cell. Number 13: size of the total moment 7.8 μB per cell. Number 14: size of the total moment 10.0 μB per cell. Number 15: size of the total moment 4.7 μB per cell. Number 16: size of the total moment 0.0 μB per cell. Number 17: size of the total moment 6.4 μB per cell. Number 18: size of the total moment 7.7 μB per cell. Number 19: size of the total moment 11.0 μB per cell. Number 20: size of the total moment 3.1 μB per cell.